No. 1
Tb2SmHoTe6 after structural relaxation, computed with PBE-GGA.

The value obtained for the spin magnetization is 0.00 Bohr magnetons per cell. The value obtained for the density is 6.335 Mg/m³.

It has space group R3 (No. 146, hexagonal axes), with a = 7.7432 Å, b = 7.7432 Å, c = 21.1830 Å, α = 90.00°, β = 90.00° and γ = 120.00°. The inequivalent atoms are Tb at (0.0000, 0.0000, 0.0000), Tb at (0.0000, 0.0000, 0.4987), Sm at (0.0000, 0.0000, 0.1870), Ho at (0.0000, 0.0000, 0.6854), Te at (0.0057, 0.6932, 0.5929) and Te at (0.0183, 0.3502, 0.7584).

No. 2
Tb2SmHo3Te6 after structural relaxation, computed with PBE-GGA.

The value obtained for the spin magnetization is 0.00 Bohr magnetons per cell. The value obtained for the density is 8.131 Mg/m³. Its density of states at the Fermi level is 6.33 states/eV/f.u.

It has space group C2/m (No. 12), with a = 19.057 Å, b = 4.341 Å, c = 8.783 Å, α = 90.00°, β = 103.70° and γ = 90.00°. The inequivalent atoms are Tb at (0.165, 0.000, 0.330), Sm at (0.000, 0.500, 0.000), Ho at (0.000, 0.500, 0.500), Ho at (0.164, 0.000, 0.833), Te at (0.000, 0.000, 0.256), Te at (0.167, 0.500, 0.585) and Te at (0.170, 0.500, 0.082).

No. 3
TbSm3Ho2Te6 after structural relaxation, computed with PBE-GGA.

The value obtained for the spin magnetization is 0.00 Bohr magnetons per cell. The value obtained for the density is 7.856 Mg/m³. Its density of states at the Fermi level is 6.23 states/eV/f.u.

It has space group C2/m (No. 12), with a = 19.210 Å, b = 4.367 Å, c = 8.857 Å, α = 90.00°, β = 103.97° and γ = 90.00°. The inequivalent atoms are Tb at (0.000, 0.000, 0.000), Sm at (0.000, 0.000, 0.500), Sm at (0.165, 0.500, 0.832), Ho at (0.166, 0.500, 0.331), Te at (0.003, 0.500, 0.247), Te at (0.166, 0.000, 0.089) and Te at (0.169, 0.000, 0.577).

No. 4
Tb3SmHo3Te8 after structural relaxation, computed with PBE-GGA.

The value obtained for the spin magnetization is 0.00 Bohr magnetons per cell. The value obtained for the density is 7.686 Mg/m³. Its density of states at the Fermi level is 6.67 states/eV/f.u.

It has space group R-3m (No. 166, hexagonal axes), with a = 8.6842 Å, b = 8.6842 Å, c = 21.2651 Å, α = 90.00°, β = 90.00° and γ = 120.00°. The inequivalent atoms are Tb at (0.0000, 0.5000, 0.0000), Sm at (0.0000, 0.0000, 0.5000), Ho at (0.0000, 0.5000, 0.5000), Te at (0.0000, 0.0000, 0.2490) and Te at (0.0137, 0.5069, 0.7476).

No. 5
TbSmHoTh2 after structural relaxation, computed with PBE-GGA.

The value obtained for the spin magnetization is 0.00 Bohr magnetons per cell. The value obtained for the density is 8.954 Mg/m³. Its density of states at the Fermi level is 7.20 states/eV/f.u. The formation enthalpy at 0 K is 410 meV/atom.

It has space group Cmcm (No. 63), with a = 6.667 Å, b = 15.656 Å, c = 6.669 Å, α = 90.00°, β = 90.00° and γ = 90.00°. The inequivalent atoms are Tb at (0.000, 0.249, 0.250), Sm at (0.000, 0.348, 0.750), Ho at (0.000, 0.151, 0.750) and Th at (0.249, 0.000, 0.000).

No. 6
TbSm2HoTh after structural relaxation, computed with PBE-GGA.

The value obtained for the spin magnetization is 0.00 Bohr magnetons per cell. The value obtained for the density is 8.396 Mg/m³. Its density of states at the Fermi level is 9.39 states/eV/f.u. The formation enthalpy at 0 K is 310 meV/atom.

It has space group P2/c (No. 13), with a = 6.946 Å, b = 7.992 Å, c = 6.104 Å, α = 90.00°, β = 90.06° and γ = 90.00°. The inequivalent atoms are Tb at (0.000, 0.000, 0.000), Sm at (0.276, 0.333, 0.250), Ho at (0.500, 0.143, 0.750) and Th at (0.000, 0.362, 0.750).

No. 7
TbSm4Ho2Th after structural relaxation, computed with PBE-GGA.

The value obtained for the spin magnetization is 0.00 Bohr magnetons per cell. The value obtained for the density is 8.397 Mg/m³. Its density of states at the Fermi level is 10.83 states/eV/f.u. The formation enthalpy at 0 K is 30 meV/atom.

It has space group P4/mmm (No. 123), with a = 5.068 Å, b = 5.068 Å, c = 10.179 Å, α = 90.00°, β = 90.00° and γ = 90.00°. The inequivalent atoms are Tb at (0.000, 0.000, 0.000), Sm at (0.000, 0.500, 0.252), Ho at (0.000, 0.000, 0.500), Ho at (0.500, 0.500, 0.000) and Th at (0.500, 0.500, 0.500).

No. 8
Tb5SmHoTh2 after structural relaxation, computed with PBE-GGA.

The value obtained for the spin magnetization is 0.00 Bohr magnetons per cell. The value obtained for the density is 8.706 Mg/m³. Its density of states at the Fermi level is 12.54 states/eV/f.u. The formation enthalpy at 0 K is 337 meV/atom.

It has space group I4/mcm (No. 140), with a = 8.825 Å, b = 8.825 Å, c = 15.419 Å, α = 90.00°, β = 90.00° and γ = 90.00°. The inequivalent atoms are Tb at (0.000, 0.000, 0.000), Tb at (0.209, 0.291, 0.139), Sm at (0.000, 0.000, 0.250), Ho at (0.000, 0.500, 0.250) and Th at (0.119, 0.381, 0.500).

No. 9
Tb4Sm2HoTh after structural relaxation, computed with PBE-GGA.

The value obtained for the spin magnetization is 0.00 Bohr magnetons per cell. The value obtained for the density is 8.568 Mg/m³. Its density of states at the Fermi level is 10.60 states/eV/f.u. The formation enthalpy at 0 K is 31 meV/atom.

It has space group Pmmm (No. 47), with a = 5.056 Å, b = 5.075 Å, c = 10.071 Å, α = 90.00°, β = 90.00° and γ = 90.00°. The inequivalent atoms are Tb at (0.000, 0.000, 0.247), Tb at (0.500, 0.500, 0.248), Sm at (0.000, 0.500, 0.500), Sm at (0.500, 0.000, 0.000), Ho at (0.500, 0.000, 0.500) and Th at (0.000, 0.500, 0.000).

No. 10
Tb2SmHo5Th after structural relaxation, computed with PBE-GGA.

The value obtained for the spin magnetization is 0.00 Bohr magnetons per cell. The value obtained for the density is 8.531 Mg/m³. Its density of states at the Fermi level is 12.34 states/eV/f.u. The formation enthalpy at 0 K is 164 meV/atom.

It has space group Cmc2_1 (No. 36), with a = 5.698 Å, b = 21.428 Å, c = 9.725 Å, α = 90.00°, β = 90.00° and γ = 90.00°. The inequivalent atoms are Tb at (0.000, 0.116, 0.000), Tb at (0.000, 0.129, 0.381), Sm at (0.000, 0.191, 0.688), Ho at (0.000, 0.014, 0.688), Ho at (0.000, 0.272, 0.994), Ho at (0.000, 0.305, 0.385), Ho at (0.000, 0.399, 0.710), Ho at (0.000, 0.469, 0.410) and Th at (0.000, 0.407, 0.092).

| no. | E_tot (eV/atom) |
| --- | --- |
| 1 | -5.107 |
| 2 | -5.171 |
| 3 | -5.227 |
| 4 | -5.201 |
| 5 | -5.343 |
| 6 | -4.903 |
| 7 | -4.980 |
| 8 | -4.917 |
| 9 | -4.963 |
| 10 | -4.757 |